# 1
Below is an optimized crystal structure of Th2MgTlRu, with properties calculated at the PBE level.

Cell lengths 8.3114, 4.0024, 8.4430 Å; angles 90.00, 108.18, 90.00 degrees
Space group P2_1/m (No. 11)
Asymmetric unit:
1 Th 0.0092 0.2500 0.2283 x2
2 Th 0.3404 0.7500 0.5850 x2
3 Mg 0.3522 0.2500 0.9272 x2
4 Tl 0.3152 0.7500 0.1763 x2
5 Ru 0.1180 0.2500 0.6159 x2

Values from the calculation:
Energy of formation   -310 meV/atom
E_tot   -5.93 eV per atom

---

# 2
Below is an optimized crystal structure of YThMgRu, with properties calculated at the PBE level.

Cell lengths 7.2487, 7.2487, 7.2487 Å; angles 90.00, 90.00, 90.00 degrees
Space group F-43m (No. 216)
Asymmetric unit:
1 Y 0.0000 0.0000 0.0000 x4
2 Th 0.0000 0.0000 0.5000 x4
3 Mg 0.2500 0.2500 0.2500 x4
4 Ru 0.2500 0.2500 0.7500 x4

Values from the calculation:
Energy of formation   -128 meV/atom
E_tot   -6.32 eV per atom

---

# 3
Below is an optimized crystal structure of ThMgZnRu, with properties calculated at the PBE level.

Cell lengths 6.8733, 6.8733, 6.8733 Å; angles 90.00, 90.00, 90.00 degrees
Space group F-43m (No. 216)
Asymmetric unit:
1 Th 0.0000 0.0000 0.0000 x4
2 Mg 0.0000 0.0000 0.5000 x4
3 Zn 0.2500 0.2500 0.7500 x4
4 Ru 0.2500 0.2500 0.2500 x4

Values from the calculation:
Energy of formation   -143 meV/atom
E_tot   -5.03 eV per atom

---

# 4
Below is an optimized crystal structure of MgTiRu2, with properties calculated at the PBE level.

Cell lengths 4.0755, 4.0755, 17.0048 Å; angles 90.00, 90.00, 90.00 degrees
Space group I-42d (No. 122)
Asymmetric unit:
1 Mg 0.0000 0.0000 0.0000 x4
2 Ti 0.0000 0.0000 0.5000 x4
3 Ru 0.1849 0.2500 0.6250 x8

Values from the calculation:
Energy of formation   470 meV/atom
E_tot   -6.54 eV per atom

---

# 5
Below is an optimized crystal structure of MgTi3Ru, with properties calculated at the PBE level.

Cell lengths 4.7422, 4.7422, 4.7422 Å; angles 90.00, 90.00, 90.00 degrees
Space group Pm-3m (No. 221)
Asymmetric unit:
1 Mg 0.0000 0.0000 0.0000 x1
2 Ti 0.0000 0.5000 0.5000 x3
3 Ru 0.5000 0.5000 0.5000 x1

Values from the calculation:
Energy of formation   356 meV/atom
E_tot   -6.56 eV per atom

---

# 6
Below is an optimized crystal structure of MgTi4Ru5, with properties calculated at the PBE level.

Cell lengths 3.0860, 3.0860, 15.5568 Å; angles 90.00, 90.00, 90.00 degrees
Space group P4/mmm (No. 123)
Asymmetric unit:
1 Mg 0.0000 0.0000 0.0000 x1
2 Ti 0.0000 0.0000 0.1984 x2
3 Ti 0.0000 0.0000 0.3995 x2
4 Ru 0.5000 0.5000 0.1107 x2
5 Ru 0.5000 0.5000 0.3042 x2
6 Ru 0.5000 0.5000 0.5000 x1

Values from the calculation:
Energy of formation   -627 meV/atom
E_tot   -8.58 eV per atom

---

# 7
Below is an optimized crystal structure of MgTiRu3, with properties calculated at the PBE level.

Cell lengths 4.5313, 4.5313, 4.5313 Å; angles 90.00, 90.00, 90.00 degrees
Space group Pm-3m (No. 221)
Asymmetric unit:
1 Mg 0.0000 0.0000 0.0000 x1
2 Ti 0.5000 0.5000 0.5000 x1
3 Ru 0.0000 0.5000 0.5000 x3

Values from the calculation:
Energy of formation   848 meV/atom
E_tot   -6.62 eV per atom

---

# 8
Below is an optimized crystal structure of Mg3TiRu, with properties calculated at the PBE level.

Cell lengths 4.8221, 4.8221, 4.8221 Å; angles 90.00, 90.00, 90.00 degrees
Space group Pm-3m (No. 221)
Asymmetric unit:
1 Mg 0.0000 0.0000 0.5000 x3
2 Ti 0.5000 0.5000 0.5000 x1
3 Ru 0.0000 0.0000 0.0000 x1

Values from the calculation:
Energy of formation   686 meV/atom
E_tot   -3.70 eV per atom

---

# 9
Below is an optimized crystal structure of Mg3TiRu, with properties calculated at the PBE level.

Cell lengths 5.0481, 5.0481, 5.0481 Å; angles 90.00, 90.00, 90.00 degrees
Space group Pm-3m (No. 221)
Asymmetric unit:
1 Mg 0.0000 0.0000 0.5000 x3
2 Ti 0.0000 0.0000 0.0000 x1
3 Ru 0.5000 0.5000 0.5000 x1

Values from the calculation:
Energy of formation   1641 meV/atom
E_tot   -2.75 eV per atom

---

# 10
Below is an optimized crystal structure of MgTiRu3, with properties calculated at the PBE level.

Cell lengths 4.4074, 4.4074, 4.4074 Å; angles 90.00, 90.00, 90.00 degrees
Space group Pm-3m (No. 221)
Asymmetric unit:
1 Mg 0.0000 0.0000 0.0000 x1
2 Ti 0.5000 0.5000 0.5000 x1
3 Ru 0.0000 0.0000 0.5000 x3

Values from the calculation:
Energy of formation   1333 meV/atom
E_tot   -6.13 eV per atom

---

# 11
Below is an optimized crystal structure of MgTiRu2, with properties calculated at the PBE level.

Cell lengths 3.0839, 3.0839, 6.3107 Å; angles 90.00, 90.00, 90.00 degrees
Space group P4/mmm (No. 123)
Asymmetric unit:
1 Mg 0.0000 0.0000 0.0000 x1
2 Ti 0.0000 0.0000 0.5000 x1
3 Ru 0.5000 0.5000 0.2656 x2

Values from the calculation:
Energy of formation   -334 meV/atom
E_tot   -7.34 eV per atom

---

# 12
Below is an optimized crystal structure of MgTiZnRu, with properties calculated at the PBE level.

Cell lengths 6.2622, 6.2622, 6.2622 Å; angles 90.00, 90.00, 90.00 degrees
Space group F-43m (No. 216)
Asymmetric unit:
1 Mg 0.0000 0.0000 0.0000 x4
2 Ti 0.0000 0.0000 0.5000 x4
3 Zn 0.2500 0.2500 0.7500 x4
4 Ru 0.2500 0.2500 0.2500 x4

Values from the calculation:
Energy of formation   -225 meV/atom
E_tot   -5.23 eV per atom

---

# 13
Below is an optimized crystal structure of MgTlRu2, with properties calculated at the PBE level.

Cell lengths 2.9604, 2.9176, 8.5637 Å; angles 90.00, 99.35, 90.00 degrees
Space group Pm (No. 6)
Asymmetric unit:
1 Mg 0.0000 0.0000 0.0000 x1
2 Tl 0.8090 0.5000 0.6659 x1
3 Ru 0.1896 0.0000 0.4039 x1
4 Ru 0.6031 0.5000 0.2210 x1

Values from the calculation:
Energy of formation   152 meV/atom
E_tot   -5.48 eV per atom

---

# 14
Below is an optimized crystal structure of MgTlRu2, with properties calculated at the PBE level.

Cell lengths 8.9914, 2.9416, 5.2654 Å; angles 90.00, 99.78, 90.00 degrees
Space group C2/m (No. 12)
Asymmetric unit:
1 Mg 0.0000 0.0000 0.0000 x2
2 Tl 0.0000 0.5000 0.5000 x2
3 Ru 0.2483 0.5000 0.2100 x4

Values from the calculation:
Energy of formation   355 meV/atom
E_tot   -5.27 eV per atom

---

# 15
Below is an optimized crystal structure of MgTlRu2, with properties calculated at the PBE level.

Cell lengths 2.9015, 4.5204, 5.3152 Å; angles 90.00, 92.42, 90.00 degrees
Space group P2/m (No. 10)
Asymmetric unit:
1 Mg 0.0000 0.0000 0.0000 x1
2 Tl 0.5000 0.0000 0.5000 x1
3 Ru 0.2712 0.5000 0.7910 x2

Values from the calculation:
Energy of formation   413 meV/atom
E_tot   -5.22 eV per atom

---

# 16
Below is an optimized crystal structure of MgTl3Ru, with properties calculated at the PBE level.

Cell lengths 5.3126, 5.3126, 5.3126 Å; angles 90.00, 90.00, 90.00 degrees
Space group Pm-3m (No. 221)
Asymmetric unit:
1 Mg 0.0000 0.0000 0.0000 x1
2 Tl 0.0000 0.5000 0.5000 x3
3 Ru 0.5000 0.5000 0.5000 x1

Values from the calculation:
Energy of formation   331 meV/atom
E_tot   -3.26 eV per atom

---

# 17
Below is an optimized crystal structure of MgTlRu2, with properties calculated at the PBE level.

Cell lengths 3.1434, 4.9284, 8.8937 Å; angles 90.00, 90.00, 90.00 degrees
Space group Cmmm (No. 65)
Asymmetric unit:
1 Mg 0.0000 0.0000 0.0000 x2
2 Tl 0.0000 0.0000 0.5000 x2
3 Ru 0.0000 0.5000 0.2424 x4

Values from the calculation:
Energy of formation   539 meV/atom
E_tot   -5.09 eV per atom

---

# 18
Below is an optimized crystal structure of MgTlRu2, with properties calculated at the PBE level.

Cell lengths 4.4920, 4.4920, 3.3112 Å; angles 90.00, 90.00, 90.00 degrees
Space group P4/mmm (No. 123)
Asymmetric unit:
1 Mg 0.0000 0.0000 0.0000 x1
2 Tl 0.5000 0.5000 0.0000 x1
3 Ru 0.0000 0.5000 0.5000 x2

Values from the calculation:
Energy of formation   373 meV/atom
E_tot   -5.26 eV per atom

---

# 19
Below is an optimized crystal structure of Mg2Tl2Ru, with properties calculated at the PBE level.

Cell lengths 3.7829, 3.7829, 15.6119 Å; angles 90.00, 90.00, 90.00 degrees
Space group I4/mmm (No. 139)
Asymmetric unit:
1 Mg 0.0000 0.5000 0.2500 x4
2 Tl 0.0000 0.0000 0.0937 x4
3 Ru 0.0000 0.0000 0.5000 x2

Values from the calculation:
Energy of formation   631 meV/atom
E_tot   -2.81 eV per atom

---

# 20
Below is an optimized crystal structure of MgTlRu2, with properties calculated at the PBE level.

Cell lengths 7.3887, 7.3887, 5.3748 Å; angles 90.00, 90.00, 90.00 degrees
Space group I-42d (No. 122)
Asymmetric unit:
1 Mg 0.0000 0.0000 0.0000 x4
2 Tl 0.0000 0.0000 0.5000 x4
3 Ru 0.2467 0.2500 0.1250 x8

Values from the calculation:
Energy of formation   815 meV/atom
E_tot   -4.81 eV per atom